#w
First-principles (PBE-GGA) data for a relaxed structure of La2HPt, as listed in Alexandria.

Cell: 4.1938 4.1938 18.8296 Å, 90.00 90.00 120.00°
Space group R-3m (No. 166, hexagonal axes)
One atom of each set of equivalent atoms:
La  0.0000  0.0000  0.2449 [6 per cell]
H  0.0000  0.0000  0.5000 [3 per cell]
Pt  0.0000  0.0000  0.0000 [3 per cell]

Results
DOS(E_F): 0.660 states/eV per atom

#x
First-principles (PBE-GGA) data for a relaxed structure of La2HPt, as listed in Alexandria.

Cell: 5.937 5.906 12.805 Å, 90.00 117.55 90.00°
Space group P2/c (No. 13)
One atom of each set of equivalent atoms:
La  0.111  0.236  0.120 [4 per cell]
La  0.350  0.245  0.871 [4 per cell]
H  0.083  0.213  0.624 [4 per cell]
Pt  0.383  0.253  0.374 [4 per cell]

Results
DOS(E_F): 0.682 states/eV per atom

#y
First-principles (PBE-GGA) data for a relaxed structure of La2HPt, as listed in Alexandria.

Cell: 7.104 7.104 7.104 Å, 90.00 90.00 90.00°
Space group Fm-3m (No. 225)
One atom of each set of equivalent atoms:
La  0.250  0.250  0.250 [8 per cell]
H  0.000  0.000  0.000 [4 per cell]
Pt  0.000  0.000  0.500 [4 per cell]

Results
DOS(E_F): 1.066 states/eV per atom

It comes down to #w, which is 2.4 kJ/mol of atoms more stable than the next structure.

#w
First-principles (PBE-GGA) data for a relaxed structure of La3HPt, as listed in Alexandria.

Cell: 8.190 3.957 8.217 Å, 90.00 107.58 90.00°
Space group P2/m (No. 10)
One atom of each set of equivalent atoms:
La  0.062  0.000  0.306 [2 per cell]
La  0.304  0.000  0.061 [2 per cell]
La  0.342  0.500  0.659 [2 per cell]
H  0.000  0.500  0.500 [1 per cell]
H  0.500  0.500  0.000 [1 per cell]
Pt  0.000  0.500  0.000 [1 per cell]
Pt  0.500  0.000  0.500 [1 per cell]

Results
DOS(E_F): 0.970 states/eV per atom

#x
First-principles (PBE-GGA) data for a relaxed structure of La3HPt, as listed in Alexandria.

Cell: 4.925 4.925 4.925 Å, 90.00 90.00 90.00°
Space group Pm-3m (No. 221)
One atom of each set of equivalent atoms:
La  0.000  0.000  0.500 [3 per cell]
H  0.000  0.000  0.000 [1 per cell]
Pt  0.500  0.500  0.500 [1 per cell]

Results
DOS(E_F): 1.419 states/eV per atom

It comes down to #w, which is 20.3 kJ/mol of atoms more stable than the next structure.

#w
First-principles (PBE-GGA) data for a relaxed structure of LaH8Pt2, as listed in Alexandria.

Cell: 3.660 4.990 5.606 Å, 90.00 90.00 90.00°
Space group Pmmm (No. 47)
One atom of each set of equivalent atoms:
La  0.000  0.000  0.000 [1 per cell]
H  0.000  0.077  0.500 [2 per cell]
H  0.000  0.500  0.254 [2 per cell]
H  0.500  0.168  0.265 [4 per cell]
Pt  0.500  0.500  0.249 [2 per cell]

Results
DOS(E_F): 0.160 states/eV per atom

#x
First-principles (PBE-GGA) data for a relaxed structure of LaH8Pt2, as listed in Alexandria.

Cell: 7.944 4.498 7.315 Å, 90.00 113.85 90.00°
Space group C2/m (No. 12)
One atom of each set of equivalent atoms:
La  0.000  0.000  0.000 [2 per cell]
H  0.076  0.500  0.174 [4 per cell]
H  0.162  0.500  0.529 [4 per cell]
H  0.195  0.250  0.851 [8 per cell]
Pt  0.054  0.500  0.696 [4 per cell]

Results
DOS(E_F): 0.238 states/eV per atom

It comes down to #w, which is 11.8 kJ/mol of atoms more stable than the next structure.